12
Lattice="-2.907 4.332 -1.866 -4.097 -0.778 -3.648 -8.200 0.179 4.964" Properties=species:S:1:pos:R:3 comment="Ac3NdIr8 GGA-PBE optimized geometry" sg="R3m (160)" total_energy_ev_per_atom=-7.919 volume_a3_per_atom=20.0 total_magnetization_mub_per_fu=0.00 formation_energy_ev_per_atom=-0.59 pbc="T T T"
Ac -9.797 1.490 2.271
Ac -7.020 3.551 -5.495
Ac -7.588 1.869 -0.291
Nd -9.210 3.176 -2.956
Ir -6.075 3.750 -2.391
Ir -10.731 1.298 -0.847
Ir -4.623 1.586 -1.459
Ir -12.179 3.457 -1.777
Ir -4.896 0.746 1.132
Ir -12.501 2.612 0.861
Ir -6.670 1.197 -3.282
Ir -10.138 3.844 0.041

***

16
Lattice="-4.526 -3.647 -0.180 4.075 -0.725 6.159 -8.119 9.733 6.934" Properties=species:S:1:pos:R:3 comment="Ac3Nd2Ir3 GGA-PBE optimized geometry" sg="Cm (8)" total_energy_ev_per_atom=-6.569 volume_a3_per_atom=35.8 total_magnetization_mub_per_fu=0.00 formation_energy_ev_per_atom=-0.51 pbc="T T T"
Ac -6.361 2.969 5.844
Ac -3.364 -0.694 4.695
Ac -7.704 4.355 11.548
Ac -5.153 5.986 8.286
Ac -0.766 0.878 1.457
Ac -2.937 3.487 3.205
Nd -9.202 6.357 8.638
Nd -5.650 1.911 9.435
Nd -2.396 2.636 6.843
Nd 0.650 -1.024 4.411
Ir -7.335 4.039 8.658
Ir -1.429 -3.089 4.592
Ir -4.613 0.737 7.128
Ir -1.262 1.353 4.316
Ir -7.078 8.368 8.451
Ir -4.060 4.764 5.583